NaTeRhI2: relaxed, PBE.

Properties
- Formation energy from raw total energies: 0.881 eV/atom
- Theoretical density: 4.63 g/cm3
- Energy relative to the lowest polymorph listed for this composition: 1.1343 eV/atom

Geometry as POSCAR:
```
NaTeRhI2
1.0
5.6712 0.0000 0.0000
0.0000 5.6712 0.0000
0.0000 0.0000 5.6627
Na Te Rh I
1 1 1 2
direct
0.0000 0.0000 0.0000
0.0000 0.0000 0.5000
0.5000 0.5000 0.5000
0.0000 0.5000 0.0000
0.5000 0.0000 0.0000
```